VASP calculation (GGA+U) on a geometry-optimized RbWN2O structure. Values from VASP.

Geometry as Quantum ESPRESSO input:
```
&SYSTEM
  ibrav = 0, nat = 5, ntyp = 4
/
ATOMIC_SPECIES
Rb 85.47 Rb.upf
W 183.84 W.upf
N 14.01 N.upf
O 16.00 O.upf
CELL_PARAMETERS angstrom
4.085 0.000 0.000
0.000 4.085 0.000
0.000 0.000 4.108
ATOMIC_POSITIONS angstrom
Rb 0.000 0.000 0.000
W 2.042 2.042 2.054
N 0.000 2.042 2.054
N 2.042 0.000 2.054
O 2.042 2.042 0.000
```

Energy (eV per cell): -31.71
Theoretical density (Mg/m³): 7.590
Total magnetization (μB per cell): 1.0